1.
Density functional theory data (GGA-PBE) for Ba5UP6 after structural relaxation.

Structure (POSCAR):
```
Ba5UP6
1.0
3.926 -6.799 0.000
3.926 6.799 0.000
-2.662 0.000 7.313
Ba U P
5 1 6
direct
0.000 0.000 0.000
0.166 0.834 0.500
0.330 0.670 0.000
0.670 0.330 0.000
0.834 0.166 0.500
0.500 0.500 0.500
0.147 0.428 0.283
0.294 0.294 0.714
0.428 0.147 0.283
0.572 0.853 0.717
0.706 0.706 0.286
0.853 0.572 0.717
```

## Properties
Electronic total energy: -5.315 eV/atom
DOS at the Fermi energy: 16.84 states/eV per cell
Energy of formation from the pure elements: -868 meV per atom

---

2.
Density functional theory data (GGA-PBE) for Ba3Y2UP6 after structural relaxation.

Structure (POSCAR):
```
Ba3Y2UP6
1.0
3.634 -6.292 0.000
3.634 6.292 0.000
-2.418 0.000 7.298
Ba Y U P
3 2 1 6
direct
0.000 0.000 0.000
0.329 0.671 0.000
0.671 0.329 0.000
0.166 0.834 0.500
0.834 0.166 0.500
0.500 0.500 0.500
0.118 0.433 0.300
0.254 0.254 0.703
0.433 0.118 0.300
0.567 0.882 0.700
0.746 0.746 0.297
0.882 0.567 0.700
```

## Properties
Electronic total energy: -6.376 eV/atom
Energy of formation from the pure elements: -1172 meV per atom

---

3.
Density functional theory data (GGA-PBE) for BaVP2 after structural relaxation.

Structure (POSCAR):
```
BaVP2
1.0
0.000 3.498 3.498
3.498 0.000 3.498
3.498 3.498 0.000
Ba V P
1 1 2
direct
0.000 0.000 0.000
0.500 0.500 0.500
0.250 0.250 0.250
0.750 0.750 0.750
```

## Properties
Electronic total energy: -5.421 eV/atom
DOS at the Fermi energy: 2.02 states/eV per cell
Energy relative to the lowest polymorph listed for this composition: 696 meV per atom
Energy of formation from the pure elements: 44 meV per atom

---

Number 1: magnetic moment 0.00 μB per cell. Number 2: magnetic moment 0.00 μB per cell. Number 3: magnetic moment 2.21 μB per cell.